An optimized crystal structure of BaVC2O8, computed with PBE with a Hubbard U.

Structure (POSCAR):
```
BaVC2O8
1.0
4.6936 0.0000 0.0000
-2.3468 4.0648 0.0000
0.0000 0.0000 7.5312
Ba V C O
1 1 2 8
Direct
0.0000 0.0000 0.0000
0.0000 0.0000 0.5000
0.3333 0.6667 0.7067
0.6667 0.3333 0.2933
0.0833 0.3590 0.6486
0.2757 0.9167 0.6486
0.3333 0.6667 0.8878
0.3590 0.2757 0.3514
0.6410 0.7243 0.6486
0.6667 0.3333 0.1122
0.7243 0.0833 0.3514
0.9167 0.6410 0.3514
```

Values from the calculation:
Theoretical density   3.93 g/cm3
Fermi-level density of states   8.2 states/eV/cell
E   -7.13 eV per atom